{"formula": "Si2IrBr", "functional": "PBE", "state": "relaxed", "lattice_angstrom": [[3.779, 0.027, -0.036], [1.869, 3.285, -0.036], [-1.805, -1.058, 7.063]], "species": ["Ir", "Br", "Si", "Si"], "fractional_positions": [[0.250, 0.250, 0.250], [0.750, 0.750, 0.750], [0.632, 0.632, 0.398], [0.868, 0.868, 0.102]], "sg": "C2/m (12)", "relative_energy_mev_per_atom": 0.0, "formation_energy_uncorrected_mev_per_atom": -238, "magmom_total_mub_per_cell": 0.00, "energy_ev_per_atom": -5.58}